# 1
A relaxed structure of La2CdSe. Source: Alexandria via LeMat-Bulk, functional GGA-PBEsol.

Cell: 11.701 3.901 4.893 Å, 90.00 90.60 90.00°
Space group Cm (No. 8)
Unique sites:
La: 0.000 0.000 0.000 (multiplicity 2)
La: 0.249 0.500 0.505 (multiplicity 2)
Cd: 0.486 0.000 0.499 (multiplicity 2)
Se: 0.266 0.000 0.005 (multiplicity 2)

## Properties
Energy relative to the lowest polymorph listed for this composition in meV per atom: 99
Energy relative to the elements, uncorrected in eV per atom: -0.94

---

# 2
A relaxed structure of Mg2AsRh. Source: Alexandria via LeMat-Bulk, functional GGA-PBEsol.

Cell: 3.089 4.397 10.403 Å, 90.00 90.00 90.00°
Space group Imm2 (No. 44)
Unique sites:
Mg: 0.000 0.000 0.000 (multiplicity 2)
Mg: 0.000 0.500 0.202 (multiplicity 2)
As: 0.000 0.500 0.791 (multiplicity 2)
Rh: 0.000 0.000 0.473 (multiplicity 2)

## Properties
Energy relative to the elements in meV per atom: -427.7

---

# 3
A relaxed structure of TiFe3Hg. Source: Alexandria via LeMat-Bulk, functional GGA-PBEsol.

Cell: 4.697 4.697 4.697 Å, 90.00 90.00 90.00°
Space group Pm-3m (No. 221)
Unique sites:
Ti: 0.000 0.000 0.000 (multiplicity 1)
Fe: 0.000 0.500 0.500 (multiplicity 3)
Hg: 0.500 0.500 0.500 (multiplicity 1)

## Properties
Energy relative to the elements in meV per atom: 1688.1

---

# 4
A relaxed structure of CsYMo2O8. Source: Alexandria via LeMat-Bulk, functional GGA-PBEsol.

Cell: 5.026 9.451 7.932 Å, 90.00 90.00 90.00°
Space group Pccm (No. 49)
Unique sites:
Cs: 0.000 0.000 0.250 (multiplicity 2)
Y: 0.000 0.500 0.250 (multiplicity 2)
Mo: 0.477 0.307 0.000 (multiplicity 4)
O: 0.251 0.438 0.500 (multiplicity 4)
O: 0.260 0.312 0.177 (multiplicity 8)
O: 0.383 0.141 0.500 (multiplicity 4)

## Properties
Energy relative to the elements, uncorrected in eV per atom: -2.47